w:
# PaPbNO

A relaxed structure of PaPbNO (GGA-PBE, the Open Quantum Materials Database).

Values from the calculation:
For the magnetic moment, the calculation gives 3.1 μB per cell. As for the crystal system: orthorhombic.

Lattice parameters (Å, degrees): 5.7633 8.7419 5.8160 90.00 90.00 90.00
Closest atoms and distances in Å follow each position.
Element x y z (fractional)
Pa 0.0031 0.1471 0.0000  1 N 2.18, 3 O 2.38-2.43
Pa 0.4969 0.1471 0.5000  1 N 2.18, 3 O 2.38-2.43
Pa 0.5031 0.8529 0.0000  1 N 2.18, 3 O 2.38-2.43
Pa 0.9969 0.8529 0.5000  1 N 2.18, 3 O 2.38-2.43
Pb 0.0080 0.3626 0.4982  1 N 2.17
Pb 0.4920 0.3626 0.9982  1 N 2.17
Pb 0.5080 0.6374 0.4982  1 N 2.17
Pb 0.9920 0.6374 0.9982  1 N 2.17
N 0.0679 0.6078 0.5064  1 Pb 2.17, 1 Pa 2.18
N 0.4321 0.6078 0.0064  1 Pb 2.17, 1 Pa 2.18
N 0.5679 0.3922 0.5064  1 Pb 2.17, 1 Pa 2.18
N 0.9321 0.3922 0.0064  1 Pb 2.17, 1 Pa 2.18
O 0.2493 0.9951 0.2574  4 Pa 2.38-2.45
O 0.2507 0.9951 0.7574  4 Pa 2.38-2.45
O 0.7493 0.0049 0.2574  4 Pa 2.38-2.45
O 0.7507 0.0049 0.7574  4 Pa 2.38-2.45


x:
# PaPbNO

A relaxed structure of PaPbNO (GGA-PBE, the Open Quantum Materials Database).

Values from the calculation:
For the magnetic moment, the calculation gives 0.0 μB per cell. As for the crystal system: orthorhombic.

Lattice parameters (Å, degrees): 4.0993 6.9753 5.9969 90.00 90.00 90.00
Closest atoms and distances in Å follow each position.
Element x y z (fractional)
Pa 0.0000 0.2197 0.0000  2 O 2.13-2.15, 2 N 2.19
Pa 0.0000 0.7803 0.5000  2 O 2.13-2.15, 2 N 2.19
Pb 0.5000 0.3347 0.5062  1 N 2.38
Pb 0.5000 0.6653 0.0062  1 N 2.38
N 0.5000 0.3266 0.9611  2 Pa 2.19, 1 Pb 2.38
N 0.5000 0.6734 0.4611  2 Pa 2.19, 1 Pb 2.38
O 0.0000 0.0013 0.7510  2 Pa 2.13-2.15
O 0.0000 0.9987 0.2510  2 Pa 2.13-2.15


y:
# PaPbNO

A relaxed structure of PaPbNO (GGA-PBE, the Open Quantum Materials Database).

Values from the calculation:
For the magnetic moment, the calculation gives 1.9 μB per cell. As for the crystal system: tetragonal.

Lattice parameters (Å, degrees): 3.9037 3.9037 9.0550 90.00 90.00 90.00
Closest atoms and distances in Å follow each position.
Element x y z (fractional)
Pa 0.2500 0.2500 0.1497  4 O 2.38
Pa 0.7500 0.7500 0.8503  4 O 2.38
Pb 0.2500 0.7500 0.5000  4 Pb 2.76, 4 N 3.00
Pb 0.7500 0.2500 0.5000  4 Pb 2.76, 4 N 3.00
N 0.2500 0.2500 0.7510  4 Pa 2.90, 4 O 2.98, 4 Pb 3.00
N 0.7500 0.7500 0.2490  4 Pa 2.90, 4 O 2.98, 4 Pb 3.00
O 0.2500 0.7500 0.0000  4 Pa 2.38
O 0.7500 0.2500 0.0000  4 Pa 2.38


z:
# PaPbNO

A relaxed structure of PaPbNO (GGA-PBE, the Open Quantum Materials Database).

Values from the calculation:
For the magnetic moment, the calculation gives 0.0 μB per cell. As for the crystal system: orthorhombic.

Lattice parameters (Å, degrees): 3.8235 7.1736 6.6278 90.00 90.00 90.00
Closest atoms and distances in Å follow each position.
Element x y z (fractional)
Pa 0.0000 0.1631 0.0000  2 O 2.17, 2 N 2.19-2.20
Pa 0.0000 0.8369 0.5000  2 O 2.17, 2 N 2.19-2.20
Pb 0.5000 0.2608 0.4823  2 N 2.49
Pb 0.5000 0.7392 0.9823  2 N 2.49
N 0.0000 0.0948 0.3218  2 Pa 2.19-2.20
N 0.0000 0.9052 0.8218  2 Pa 2.19-2.20
O 0.5000 0.2985 0.9530  2 Pa 2.17
O 0.5000 0.7015 0.4530  2 Pa 2.17


Consider the structures shown above. The most stable of them is x.